# 1
Material: RuI2OF
Method: DFT, GGA-PBE
State: optimized geometry

```
data_RuI2OF
_symmetry_space_group_name_H-M 'P 4/m m m'
_symmetry_Int_Tables_number 123
_symmetry_space_group_name_Hall '-P 4 2'
_cell_length_a 5.472
_cell_length_b 5.472
_cell_length_c 3.679
_cell_angle_alpha 90.00
_cell_angle_beta 90.00
_cell_angle_gamma 90.00
loop_
_atom_site_label
_atom_site_fract_x
_atom_site_fract_y
_atom_site_fract_z
Ru1 0.000 0.000 0.000
I1 0.000 0.500 0.000
O1 0.000 0.000 0.500
F1 0.500 0.500 0.500
```

Summary:
Crystal system: tetragonal
Formation energy without anion corrections, kJ/mol of atoms: -21.6

---

# 2
Material: RuIO2F
Method: DFT, GGA-PBE
State: optimized geometry

```
data_RuIO2F
_symmetry_space_group_name_H-M 'P 4/m m m'
_symmetry_Int_Tables_number 123
_symmetry_space_group_name_Hall '-P 4 2'
_cell_length_a 4.388
_cell_length_b 4.388
_cell_length_c 4.174
_cell_angle_alpha 90.00
_cell_angle_beta 90.00
_cell_angle_gamma 90.00
loop_
_atom_site_label
_atom_site_fract_x
_atom_site_fract_y
_atom_site_fract_z
Ru1 0.000 0.000 0.000
I1 0.500 0.500 0.000
O1 0.000 0.500 0.500
F1 0.500 0.500 0.500
```

Summary:
Crystal system: tetragonal
Formation energy without anion corrections, kJ/mol of atoms: 114.0

---

# 3
Material: RuI2OF
Method: DFT, GGA-PBE
State: optimized geometry

```
data_RuI2OF
_symmetry_space_group_name_H-M 'P 4/m m m'
_symmetry_Int_Tables_number 123
_symmetry_space_group_name_Hall '-P 4 2'
_cell_length_a 5.109
_cell_length_b 5.109
_cell_length_c 3.559
_cell_angle_alpha 90.00
_cell_angle_beta 90.00
_cell_angle_gamma 90.00
loop_
_atom_site_label
_atom_site_fract_x
_atom_site_fract_y
_atom_site_fract_z
Ru1 0.000 0.000 0.000
I1 0.000 0.500 0.500
O1 0.500 0.500 0.000
F1 0.500 0.500 0.500
```

Summary:
Crystal system: tetragonal
Formation energy without anion corrections, kJ/mol of atoms: 104.9

---

# 4
Material: RuIO2F
Method: DFT, GGA-PBE
State: optimized geometry

```
data_RuIO2F
_symmetry_space_group_name_H-M 'P 4/m m m'
_symmetry_Int_Tables_number 123
_symmetry_space_group_name_Hall '-P 4 2'
_cell_length_a 3.950
_cell_length_b 3.950
_cell_length_c 4.450
_cell_angle_alpha 90.00
_cell_angle_beta 90.00
_cell_angle_gamma 90.00
loop_
_atom_site_label
_atom_site_fract_x
_atom_site_fract_y
_atom_site_fract_z
Ru1 0.000 0.000 0.000
I1 0.500 0.500 0.500
O1 0.000 0.500 0.000
F1 0.000 0.000 0.500
```

Summary:
Crystal system: tetragonal
Formation energy without anion corrections, kJ/mol of atoms: -27.5

---

# 5
Material: RuIO2F
Method: DFT, GGA-PBE
State: optimized geometry

```
data_RuIO2F
_symmetry_space_group_name_H-M 'P 4/m m m'
_symmetry_Int_Tables_number 123
_symmetry_space_group_name_Hall '-P 4 2'
_cell_length_a 3.766
_cell_length_b 3.766
_cell_length_c 5.671
_cell_angle_alpha 90.00
_cell_angle_beta 90.00
_cell_angle_gamma 90.00
loop_
_atom_site_label
_atom_site_fract_x
_atom_site_fract_y
_atom_site_fract_z
Ru1 0.000 0.000 0.000
I1 0.000 0.000 0.500
O1 0.000 0.500 0.000
F1 0.500 0.500 0.500
```

Summary:
Crystal system: tetragonal
Formation energy without anion corrections, kJ/mol of atoms: -50.2

---

# 6
Material: SI2OF
Method: DFT, GGA-PBE
State: optimized geometry

```
data_SI2OF
_symmetry_space_group_name_H-M 'P 4/m m m'
_symmetry_Int_Tables_number 123
_symmetry_space_group_name_Hall '-P 4 2'
_cell_length_a 5.661
_cell_length_b 5.661
_cell_length_c 3.418
_cell_angle_alpha 90.00
_cell_angle_beta 90.00
_cell_angle_gamma 90.00
loop_
_atom_site_label
_atom_site_fract_x
_atom_site_fract_y
_atom_site_fract_z
S1 0.000 0.000 0.000
I1 0.000 0.500 0.000
O1 0.000 0.000 0.500
F1 0.500 0.500 0.500
```

Summary:
Crystal system: tetragonal
Formation energy without anion corrections, kJ/mol of atoms: 10.9